No. 1
Entry from Alexandria: a relaxed Ac2NiSbN crystal (GGA-PBE).

It has space group P2_1/m (No. 11), with a = 6.941 Å, b = 4.177 Å, c = 8.961 Å, α = 90.00°, β = 108.69° and γ = 90.00°. The asymmetric unit holds Ac at (0.214, 0.250, 0.376), Ac at (0.220, 0.250, 0.971), Ni at (0.445, 0.750, 0.239), Sb at (0.315, 0.750, 0.696) and N at (0.156, 0.750, 0.162).

For the energy, the calculation gives -6.23 eV/atom. The calculation puts the total magnetic moment at 0.000 μB per atom.


No. 2
Entry from Alexandria: a relaxed Pr3NiSn crystal (GGA-PBE).

It has space group Pm-3m (No. 221), with a = 5.371 Å, b = 5.371 Å, c = 5.371 Å, α = 90.00°, β = 90.00° and γ = 90.00°. The asymmetric unit holds Pr at (0.000, 0.000, 0.500), Ni at (0.000, 0.000, 0.000) and Sn at (0.500, 0.500, 0.500).

The value obtained for the energy above the most stable polymorph in this dataset is 0.060 eV per atom. For the energy, the calculation gives -5.11 eV/atom. The calculation puts the total magnetic moment at 0.000 μB per atom.